Model one:
This record from Alexandria describes a geometry-optimized Te3CBr structure. The functional is PBE.

Values from the calculation:
SG: Pm-3m (221)

a = 5.603 Å, b = 5.603 Å, c = 5.603 Å
α = 90.00°, β = 90.00°, γ = 90.00°
Positions (direct):
Br1 0.000 0.000 0.000
Te1 0.000 0.000 0.500
Te2 0.500 0.000 0.000
Te3 0.000 0.500 0.000
C1 0.500 0.500 0.500

=====

Model two:
This record from Alexandria describes a geometry-optimized Te3CBr structure. The functional is PBE.

Values from the calculation:
SG: Pm-3m (221)

a = 4.905 Å, b = 4.905 Å, c = 4.905 Å
α = 90.00°, β = 90.00°, γ = 90.00°
Positions (direct):
C1 0.000 0.000 0.000
Br1 0.500 0.500 0.500
Te1 0.500 0.000 0.000
Te2 0.000 0.500 0.000
Te3 0.000 0.000 0.500

=====

Quick one: least stable of them? model one

=====

Model one:
This record from Alexandria describes a geometry-optimized Te2CBr structure. The functional is PBE.

Values from the calculation:
SG: R-3m (166)

a = 9.009 Å, b = 9.009 Å, c = 9.009 Å
α = 22.40°, β = 22.40°, γ = 22.40°
Positions (direct):
Te1 0.892 0.892 0.892
Te2 0.108 0.108 0.108
Br1 0.000 0.000 0.000
C1 0.500 0.500 0.500

=====

Model two:
This record from Alexandria describes a geometry-optimized Te2CBr structure. The functional is PBE.

Values from the calculation:
SG: Fm-3m (225)

a = 4.988 Å, b = 4.988 Å, c = 4.988 Å
α = 60.00°, β = 60.00°, γ = 60.00°
Positions (direct):
Te1 0.250 0.250 0.250
Te2 0.750 0.750 0.750
C1 0.000 0.000 0.000
Br1 0.500 0.500 0.500

=====

Model three:
This record from Alexandria describes a geometry-optimized Te2CBr structure. The functional is PBE.

Values from the calculation:
SG: R-3m (166)

a = 5.244 Å, b = 5.244 Å, c = 5.244 Å
α = 73.42°, β = 73.42°, γ = 73.42°
Positions (direct):
Te1 0.168 0.168 0.168
Te2 0.832 0.832 0.832
C1 0.000 0.000 0.000
Br1 0.500 0.500 0.500

=====

Model four:
This record from Alexandria describes a geometry-optimized Te2CBr structure. The functional is PBE.

Values from the calculation:
SG: I-42d (122)

a = 7.057 Å, b = 7.057 Å, c = 6.467 Å
α = 56.93°, β = 56.93°, γ = 90.00°
Positions (direct):
C1 0.250 0.750 0.500
C2 0.500 0.500 0.000
Br1 0.000 0.000 0.000
Br2 0.750 0.250 0.500
Te1 0.875 0.765 0.750
Te2 0.235 0.625 0.250
Te3 0.375 0.485 0.750
Te4 0.515 0.125 0.250

=====

Quick one: least stable of them? model two

=====

Model one:
This record from Alexandria describes a geometry-optimized TiCBr2 structure. The functional is PBE.

Values from the calculation:
SG: I-42d (122)

a = 9.795 Å, b = 9.795 Å, c = 7.205 Å
α = 47.18°, β = 47.18°, γ = 90.00°
Positions (direct):
Br1 0.375 0.209 0.750
Br2 0.875 0.041 0.750
Br3 0.959 0.625 0.250
Br4 0.791 0.125 0.250
Ti1 0.000 0.000 0.000
Ti2 0.750 0.250 0.500
C1 0.500 0.500 0.000
C2 0.250 0.750 0.500

=====

Model two:
This record from Alexandria describes a geometry-optimized TiCBr2 structure. The functional is PBE.

Values from the calculation:
SG: Fm-3m (225)

a = 4.574 Å, b = 4.574 Å, c = 4.574 Å
α = 60.00°, β = 60.00°, γ = 60.00°
Positions (direct):
Br1 0.750 0.750 0.750
Br2 0.250 0.250 0.250
Ti1 0.500 0.500 0.500
C1 0.000 0.000 0.000

=====

Quick one: least stable of them? model two

=====

Model one:
This record from Alexandria describes a geometry-optimized Tl3CBr structure. The functional is PBE.

Values from the calculation:
SG: Pm-3m (221)

a = 5.215 Å, b = 5.215 Å, c = 5.215 Å
α = 90.00°, β = 90.00°, γ = 90.00°
Positions (direct):
Tl1 0.000 0.500 0.000
Tl2 0.000 0.000 0.500
Tl3 0.500 0.000 0.000
C1 0.000 0.000 0.000
Br1 0.500 0.500 0.500

=====

Model two:
This record from Alexandria describes a geometry-optimized Tl3CBr structure. The functional is PBE.

Values from the calculation:
SG: Pm-3m (221)

a = 6.169 Å, b = 6.169 Å, c = 6.169 Å
α = 90.00°, β = 90.00°, γ = 90.00°
Positions (direct):
Br1 0.000 0.000 0.000
Tl1 0.000 0.000 0.500
Tl2 0.500 0.000 0.000
Tl3 0.000 0.500 0.000
C1 0.500 0.500 0.500

=====

Quick one: least stable of them? model two

=====

Model one:
This record from Alexandria describes a geometry-optimized TlCBr2 structure. The functional is PBE.

Values from the calculation:
SG: Fm-3m (225)

a = 5.276 Å, b = 5.276 Å, c = 5.276 Å
α = 60.00°, β = 60.00°, γ = 60.00°
Positions (direct):
Br1 0.750 0.750 0.750
Br2 0.250 0.250 0.250
C1 0.000 0.000 0.000
Tl1 0.500 0.500 0.500

=====

Model two:
This record from Alexandria describes a geometry-optimized TlCBr2 structure. The functional is PBE.

Values from the calculation:
SG: R-3m (166)

a = 9.668 Å, b = 9.668 Å, c = 9.668 Å
α = 21.28°, β = 21.28°, γ = 21.28°
Positions (direct):
C1 0.500 0.500 0.500
Tl1 0.000 0.000 0.000
Br1 0.883 0.883 0.883
Br2 0.117 0.117 0.117

=====

Quick one: least stable of them? model one

=====

Model one:
This record from Alexandria describes a geometry-optimized TlCBr2 structure. The functional is PBE.

Values from the calculation:
SG: R-3m (166)

a = 8.655 Å, b = 8.655 Å, c = 8.655 Å
α = 32.39°, β = 32.39°, γ = 32.39°
Positions (direct):
Tl1 0.500 0.500 0.500
Br1 0.908 0.908 0.908
Br2 0.092 0.092 0.092
C1 0.000 0.000 0.000

=====

Model two:
This record from Alexandria describes a geometry-optimized TlCBr2 structure. The functional is PBE.

Values from the calculation:
SG: I-42d (122)

a = 7.045 Å, b = 7.045 Å, c = 7.063 Å
α = 60.08°, β = 60.08°, γ = 90.00°
Positions (direct):
C1 0.500 0.500 0.000
C2 0.250 0.750 0.500
Br1 0.875 0.626 0.750
Br2 0.374 0.625 0.250
Br3 0.375 0.624 0.750
Br4 0.376 0.125 0.250
Tl1 0.000 0.000 0.000
Tl2 0.750 0.250 0.500

=====

Quick one: least stable of them? model one

=====

Model one:
This record from Alexandria describes a geometry-optimized TlC3Br structure. The functional is PBE.

Values from the calculation:
SG: Pm-3m (221)

a = 4.580 Å, b = 4.580 Å, c = 4.580 Å
α = 90.00°, β = 90.00°, γ = 90.00°
Positions (direct):
Tl1 0.000 0.000 0.000
Br1 0.500 0.500 0.500
C1 0.500 0.000 0.000
C2 0.000 0.500 0.000
C3 0.000 0.000 0.500

=====

Model two:
This record from Alexandria describes a geometry-optimized TlC3Br structure. The functional is PBE.

Values from the calculation:
SG: Pm-3m (221)

a = 4.246 Å, b = 4.246 Å, c = 4.246 Å
α = 90.00°, β = 90.00°, γ = 90.00°
Positions (direct):
Tl1 0.500 0.500 0.500
C1 0.000 0.500 0.000
C2 0.000 0.000 0.500
C3 0.500 0.000 0.000
Br1 0.000 0.000 0.000

=====

Quick one: least stable of them? model one

=====

Model one:
This record from Alexandria describes a geometry-optimized VCBr2 structure. The functional is PBE.

Values from the calculation:
SG: Fm-3m (225)

a = 4.558 Å, b = 4.558 Å, c = 4.558 Å
α = 60.00°, β = 60.00°, γ = 60.00°
Positions (direct):
Br1 0.750 0.750 0.750
Br2 0.250 0.250 0.250
C1 0.000 0.000 0.000
V1 0.500 0.500 0.500

=====

Model two:
This record from Alexandria describes a geometry-optimized VCBr2 structure. The functional is PBE.

Values from the calculation:
SG: I-42d (122)

a = 6.985 Å, b = 6.985 Å, c = 6.362 Å
α = 56.70°, β = 56.70°, γ = 90.00°
Positions (direct):
Br1 0.375 0.340 0.750
Br2 0.090 0.625 0.250
Br3 0.660 0.125 0.250
Br4 0.875 0.910 0.750
V1 0.000 0.000 0.000
V2 0.750 0.250 0.500
C1 0.250 0.750 0.500
C2 0.500 0.500 0.000

=====

Model three:
This record from Alexandria describes a geometry-optimized VCBr2 structure. The functional is PBE.

Values from the calculation:
SG: R-3m (166)

a = 8.036 Å, b = 8.036 Å, c = 8.036 Å
α = 28.07°, β = 28.07°, γ = 28.07°
Positions (direct):
Br1 0.894 0.894 0.894
Br2 0.106 0.106 0.106
C1 0.000 0.000 0.000
V1 0.500 0.500 0.500

=====

Quick one: least stable of them? model one